No. 1
Dy7Cd2Ni2: relaxed, PBE.

a b c (Å): 6.7558 7.0139 6.7558
angles (deg): 90.00 108.99 90.00
Positions (direct):
Dy: 0.9998 0.2460 0.5003
Dy: 0.5003 0.7540 0.9998
Dy: 0.0002 0.7540 0.4997
Dy: 0.4997 0.2460 0.0002
Dy: 0.0000 0.0000 0.0000
Dy: 0.5002 0.7618 0.4998
Dy: 0.4998 0.2382 0.5002
Cd: 0.8237 0.5000 0.8237
Cd: 0.1763 0.5000 0.1763
Ni: 0.7052 0.0000 0.2948
Ni: 0.2948 0.0000 0.7052

DOS(E_F): 11.1 states/eV/f.u.
Magnetization: 0.00 μB per cell



No. 2
Dy2CdNi2: relaxed, PBE.

a b c (Å): 3.6420 3.9501 7.3837
angles (deg): 105.51 90.00 90.00
Positions (direct):
Dy: 0.5000 0.6389 0.2778
Dy: 0.5000 0.3611 0.7222
Cd: 0.0000 0.0000 0.0000
Ni: 0.0000 0.1997 0.3993
Ni: 0.0000 0.8003 0.6007

DOS(E_F): 3.7 states/eV/f.u.
Magnetization: 0.00 μB per cell



No. 3
DyCdNiPd: relaxed, PBE.

a b c (Å): 4.7095 4.7095 4.7095
angles (deg): 60.00 60.00 60.00
Positions (direct):
Ni: 0.0000 0.0000 0.0000
Cd: 0.7500 0.7500 0.7500
Pd: 0.5000 0.5000 0.5000
Dy: 0.2500 0.2500 0.2500

DOS(E_F): 2.1 states/eV/f.u.
Magnetization: 0.00 μB per cell



No. 4
PrDyCdNi: relaxed, PBE.

a b c (Å): 5.1622 5.1622 5.1622
angles (deg): 60.00 60.00 60.00
Positions (direct):
Pr: 0.5000 0.5000 0.5000
Ni: 0.2500 0.2500 0.2500
Cd: 0.7500 0.7500 0.7500
Dy: 0.0000 0.0000 0.0000

DOS(E_F): 3.6 states/eV/f.u.
Magnetization: 0.00 μB per cell



No. 5
DyCdNiPt: relaxed, PBE.

a b c (Å): 4.7143 4.7143 4.7143
angles (deg): 60.00 60.00 60.00
Positions (direct):
Ni: 0.0000 0.0000 0.0000
Cd: 0.7500 0.7500 0.7500
Pt: 0.5000 0.5000 0.5000
Dy: 0.2500 0.2500 0.2500

DOS(E_F): 2.1 states/eV/f.u.
Magnetization: 0.00 μB per cell



No. 6
DyCdNiRh: relaxed, PBE.

a b c (Å): 4.6556 4.6556 4.6556
angles (deg): 60.00 60.00 60.00
Positions (direct):
Ni: 0.0000 0.0000 0.0000
Cd: 0.7500 0.7500 0.7500
Rh: 0.5000 0.5000 0.5000
Dy: 0.2500 0.2500 0.2500

DOS(E_F): 2.5 states/eV/f.u.
Magnetization: 0.00 μB per cell



No. 7
Dy4CdNiRu2: relaxed, PBE.

a b c (Å): 4.9097 4.9097 8.5307
angles (deg): 73.28 73.28 60.00
Positions (direct):
Dy: 0.3814 0.3814 0.8559
Dy: 0.8705 0.8705 0.3886
Dy: 0.1295 0.1295 0.6114
Dy: 0.6186 0.6186 0.1441
Cd: 0.0000 0.0000 0.0000
Ni: 0.5000 0.5000 0.5000
Ru: 0.7494 0.7494 0.7517
Ru: 0.2506 0.2506 0.2483

DOS(E_F): 4.0 states/eV/f.u.
Magnetization: 0.00 μB per cell



No. 8
SmDyCdNi: relaxed, PBE.

a b c (Å): 5.1068 5.1068 5.1068
angles (deg): 60.00 60.00 60.00
Positions (direct):
Ni: 0.7500 0.7500 0.7500
Cd: 0.2500 0.2500 0.2500
Sm: 0.0000 0.0000 0.0000
Dy: 0.5000 0.5000 0.5000

DOS(E_F): 2.8 states/eV/f.u.
Magnetization: 0.00 μB per cell



Mass density values, unit Mg/m³, following the record order: 8.12 9.00 9.89 8.10 11.85 10.16 10.12 8.53.
Electronic total energy values, unit eV/f.u., following the record order: -47.37 -23.95 -18.39 -16.88 -19.57 -20.24 -46.46 -16.96.